Entry 1:
A plane-wave DFT calculation with PBE-GGA was carried out for an optimized crystal structure of Al3Re2Mo3.

Results
- Energy: -68.210 eV for the cell shown
- N(E_F): 6.70 states/eV/cell
- Space-group type: P-62m
- Magnetic moment: 0.000 Bohr magnetons per cell
- E_form: 0.051 eV/atom
- V: 16.18 Å³ per atom

Lattice parameters (Å, degrees): 7.1750 7.1750 2.9028 90.00 90.00 120.00
With the nearest neighbours (Å) after each atom.
Element x y z (fractional)
Al1 0.0000 0.2426 0.0000  2 Re 2.77, 6 Mo 2.79-3.08, 4 Al 2.90-3.02
Al2 0.2426 0.0000 0.0000  2 Re 2.77, 6 Mo 2.79-3.08, 4 Al 2.90-3.02
Al3 0.7574 0.7574 0.0000  2 Re 2.77, 6 Mo 2.79-3.08, 4 Al 2.90-3.02
Re1 0.3333 0.6667 0.0000  6 Mo 2.67, 3 Al 2.77, 2 Re 2.90
Re2 0.6667 0.3333 0.0000  6 Mo 2.67, 3 Al 2.77, 2 Re 2.90
Mo1 0.0000 0.6211 0.5000  4 Re 2.67, 4 Al 2.79, 2 Mo 2.90
Mo2 0.3789 0.3789 0.5000  4 Re 2.67, 4 Al 2.79, 2 Mo 2.90
Mo3 0.6211 0.0000 0.5000  4 Re 2.67, 4 Al 2.79, 2 Mo 2.90

***

Entry 2:
A plane-wave DFT calculation with PBE-GGA was carried out for an optimized crystal structure of Al2ReMo2.

Results
- Energy: -82.821 eV for the cell shown
- N(E_F): 9.68 states/eV/cell
- Space-group type: P4/mbm
- Magnetic moment: 0.000 Bohr magnetons per cell
- E_form: 0.037 eV/atom
- V: 14.99 Å³ per atom

Lattice parameters (Å, degrees): 6.7280 6.7280 3.3124 90.00 90.00 90.00
With the nearest neighbours (Å) after each atom.
Element x y z (fractional)
Al1 0.1305 0.3695 0.0000  1 Al 2.48, 6 Mo 2.52-2.63, 2 Re 2.64
Al2 0.3695 0.8695 0.0000  1 Al 2.48, 6 Mo 2.52-2.63, 2 Re 2.64
Al3 0.6305 0.1305 0.0000  1 Al 2.48, 6 Mo 2.52-2.63, 2 Re 2.64
Al4 0.8695 0.6305 0.0000  1 Al 2.48, 6 Mo 2.52-2.63, 2 Re 2.64
Re1 0.0000 0.0000 0.0000  4 Al 2.64
Re2 0.5000 0.5000 0.0000  4 Al 2.64
Mo1 0.1700 0.6700 0.5000  6 Al 2.52-2.63
Mo2 0.3300 0.1700 0.5000  6 Al 2.52-2.63
Mo3 0.6700 0.8300 0.5000  6 Al 2.52-2.63
Mo4 0.8300 0.3300 0.5000  6 Al 2.52-2.63

***

Entry 3:
A plane-wave DFT calculation with PBE-GGA was carried out for an optimized crystal structure of Al3ReMo.

Results
- Energy: -30.043 eV for the cell shown
- N(E_F): 2.08 states/eV/cell
- Space-group type: Pm-3m
- Magnetic moment: 3.758 Bohr magnetons per cell
- E_form: 0.893 eV/atom
- V: 20.85 Å³ per atom

Lattice parameters (Å, degrees): 4.7062 4.7062 4.7062 90.00 90.00 90.00
With the nearest neighbours (Å) after each atom.
Element x y z (fractional)
Al1 0.0000 0.0000 0.5000  2 Re 2.35
Al2 0.0000 0.5000 0.0000  2 Re 2.35
Al3 0.5000 0.0000 0.0000  2 Re 2.35
Re1 0.0000 0.0000 0.0000  6 Al 2.35
Mo1 0.5000 0.5000 0.5000  12 Al 3.33

***

Entry 4:
A plane-wave DFT calculation with PBE-GGA was carried out for an optimized crystal structure of AlReMo.

Results
- Energy: -53.526 eV for the cell shown
- N(E_F): 4.04 states/eV/cell
- Space-group type: C2/m
- Magnetic moment: 0.000 Bohr magnetons per cell
- E_form: 0.086 eV/atom
- V: 15.57 Å³ per atom

Lattice parameters (Å, degrees): 3.7136 3.7136 6.8619 96.42 96.42 89.31
With the nearest neighbours (Å) after each atom.
Element x y z (fractional)
Al1 0.1828 0.1828 0.1950  5 Mo 2.61-2.76, 4 Re 2.77-2.78
Al2 0.8172 0.8172 0.8050  5 Mo 2.61-2.76, 4 Re 2.77-2.78
Re1 0.2535 0.7465 0.5000  4 Re 2.57-2.65, 4 Al 2.77-2.78, 2 Mo 2.85
Re2 0.7465 0.2535 0.5000  4 Re 2.57-2.65, 4 Al 2.77-2.78, 2 Mo 2.85
Mo1 0.3210 0.3210 0.8231  5 Al 2.61-2.76, 1 Mo 2.83, 4 Re 2.85-2.89
Mo2 0.6790 0.6790 0.1769  5 Al 2.61-2.76, 1 Mo 2.83, 4 Re 2.85-2.89

***

Entry 5:
A plane-wave DFT calculation with PBE-GGA was carried out for an optimized crystal structure of AlReMo.

Results
- Energy: -27.743 eV for the cell shown
- N(E_F): 1.04 states/eV/cell
- Space-group type: I4mm
- Magnetic moment: 0.000 Bohr magnetons per cell
- E_form: -0.241 eV/atom
- V: 15.01 Å³ per atom

Lattice parameters (Å, degrees): 5.1027 5.1027 5.1027 144.28 144.28 51.41
With the nearest neighbours (Å) after each atom.
Element x y z (fractional)
Al1 0.0000 0.0000 0.0000  4 Re 2.71, 5 Mo 2.75-2.97
Re1 0.3304 0.3304 0.0000  4 Mo 2.63, 4 Al 2.71
Mo1 0.6767 0.6767 0.0000  4 Re 2.63, 4 Al 2.75

***

Entry 6:
A plane-wave DFT calculation with PBE-GGA was carried out for an optimized crystal structure of AlReMo.

Results
- Energy: -27.409 eV for the cell shown
- N(E_F): 1.98 states/eV/cell
- Space-group type: P3m1
- Magnetic moment: 0.000 Bohr magnetons per cell
- E_form: -0.129 eV/atom
- V: 15.08 Å³ per atom

Lattice parameters (Å, degrees): 4.3778 4.3778 2.7254 90.00 90.00 120.00
With the nearest neighbours (Å) after each atom.
Element x y z (fractional)
Al1 0.0000 0.0000 0.0000  3 Re 2.69, 2 Al 2.73, 3 Mo 2.74
Re1 0.6667 0.3333 0.6633  3 Mo 2.63, 3 Al 2.69, 2 Re 2.73
Mo1 0.3333 0.6667 0.3926  3 Re 2.63, 2 Mo 2.73, 3 Al 2.74

***

Entry 7:
A plane-wave DFT calculation with PBE-GGA was carried out for an optimized crystal structure of Al2ReMoRu.

Results
- Energy: -33.758 eV for the cell shown
- N(E_F): 3.65 states/eV/cell
- Space-group type: P4/mmm
- Magnetic moment: 3.423 Bohr magnetons per cell
- E_form: 1.256 eV/atom
- V: 20.34 Å³ per atom

Lattice parameters (Å, degrees): 4.6751 4.6751 4.6525 90.00 90.00 90.00
With the nearest neighbours (Å) after each atom.
Element x y z (fractional)
Al1 0.0000 0.5000 0.0000  2 Re 2.34
Al2 0.5000 0.0000 0.0000  2 Re 2.34
Re1 0.0000 0.0000 0.0000  2 Ru 2.33, 4 Al 2.34
Mo1 0.5000 0.5000 0.5000  8 Al 3.30, 4 Ru 3.31
Ru1 0.0000 0.0000 0.5000  2 Re 2.33

***

Entry 8:
A plane-wave DFT calculation with PBE-GGA was carried out for an optimized crystal structure of ScAlReMo.

Results
- Energy: -34.091 eV for the cell shown
- N(E_F): 3.21 states/eV/cell
- Space-group type: F-43m
- Magnetic moment: 0.000 Bohr magnetons per cell
- E_form: -0.184 eV/atom
- V: 16.27 Å³ per atom

Lattice parameters (Å, degrees): 4.5146 4.5146 4.5146 60.00 60.00 60.00
With the nearest neighbours (Å) after each atom.
Element x y z (fractional)
Sc1 0.0000 0.0000 0.0000  4 Re 2.76, 4 Al 2.76
Al1 0.2500 0.2500 0.2500  4 Mo 2.76, 4 Sc 2.76
Re1 0.7500 0.7500 0.7500  4 Mo 2.76, 4 Sc 2.76
Mo1 0.5000 0.5000 0.5000  4 Re 2.76, 4 Al 2.76